Here is an optimized crystal structure of CePaNiO6 from the Alexandria database. Energies are from PBE with a Hubbard U.

Lattice parameters (Å, degrees): 4.8771 5.3934 5.3934 120.00 90.00 90.00
Closest atoms and distances in Å follow each position.
Atoms (fractional coordinates):
1 O 0.2635 0.6791 0.9824  1 Ni 2.04, 1 Pa 2.20, 1 Ce 2.25
2 Ce 0.5000 0.6667 0.3333  6 O 2.25
3 Pa 0.0000 0.3333 0.6667  6 O 2.20
4 O 0.7365 0.0176 0.3209  1 Ni 2.04, 1 Pa 2.20, 1 Ce 2.25
5 O 0.7365 0.6791 0.6967  1 Ni 2.04, 1 Pa 2.20, 1 Ce 2.25
6 Ni 0.5000 0.0000 0.0000  6 O 2.04
7 O 0.2635 0.3033 0.3209  1 Ni 2.04, 1 Pa 2.20, 1 Ce 2.25
8 O 0.2635 0.0176 0.6967  1 Ni 2.04, 1 Pa 2.20, 1 Ce 2.25
9 O 0.7365 0.3033 0.9824  1 Ni 2.04, 1 Pa 2.20, 1 Ce 2.25

Computed properties:
**Calculated total energy**: -7.8550 eV per atom